(1)
{"formula": "Mg2AsW", "functional": "PBE", "state": "relaxed", "sg": "No. 47", "e_tot_ev_per_atom": -4.777, "e_form_mev_per_atom": 421, "rho_g_cm3": 7.34, "cell": [[-0.1970, 2.2786, -2.2973], [-3.2046, -2.2898, -1.9963], [-3.3293, 2.3653, 2.6315]], "species": ["As", "Mg", "Mg", "W"], "frac_coords": [[0.0000, 0.5000, 0.5000], [0.0000, 0.0000, 0.0000], [0.5000, 0.5000, 0.0000], [0.5000, 0.0000, 0.5000]]}

=====

(2)
{"formula": "Mg2AsW", "functional": "PBE", "state": "relaxed", "sg": "No. 166", "e_tot_ev_per_atom": -4.959, "e_form_mev_per_atom": 239, "rho_g_cm3": 7.11, "cell": [[-3.7295, -8.5195, 0.2749], [-2.7167, -8.5218, -2.5622], [-0.8666, -9.2588, -0.3019]], "species": ["As", "Mg", "Mg", "W"], "frac_coords": [[0.7500, 0.7500, 0.7500], [0.0004, 0.0004, 0.0004], [0.4996, 0.4996, 0.4996], [0.2500, 0.2500, 0.2500]]}

=====

(3)
{"formula": "MgAs2W", "functional": "PBE", "state": "relaxed", "sg": "No. 123", "e_tot_ev_per_atom": -6.034, "e_form_mev_per_atom": -72, "rho_g_cm3": 8.54, "cell": [[3.2130, 0.0000, 0.0000], [0.0000, 3.2130, 0.0000], [0.0000, 0.0000, 6.7415]], "species": ["As", "As", "Mg", "W"], "frac_coords": [[0.0000, 0.0000, 0.9679], [0.0000, 0.0000, 0.5321], [0.5000, 0.5000, 0.2500], [0.5000, 0.5000, 0.7500]]}